(1)
DFT (GGA-PBE) results for an optimized crystal structure of Pr2GaSb3Rh4.

- Formation energy from raw total energies: -8.37 eV per formula unit
- VASP energy: -62.72 eV for the cell shown

The structure in POSCAR format:
```
Pr2GaSb3Rh4
1.0
-1.3490 -3.8709 -1.6905
1.8385 1.0596 -3.8933
9.1565 -4.5398 3.0884
Ga Sb Pr Rh
1 3 2 4
Cartesian
4.8230 -3.6755 -1.2477
2.1614 -0.0861 -1.5277
4.5783 -2.2699 1.5442
7.2399 -5.8594 1.8242
7.7149 -2.8395 0.3454
1.6864 -3.1060 -0.0489
0.2448 -1.4056 -2.7919
5.0389 -4.7681 1.0818
4.3624 -1.1773 -0.7853
0.0000 0.0000 0.0000
```


(2)
DFT (GGA-PBE) results for an optimized crystal structure of Pr2ScGa3Rh4.

- ΔH_f (0 K): -0.815 eV/atom
- VASP energy: -62.52 eV for the cell shown

The structure in POSCAR format:
```
Pr2ScGa3Rh4
1.0
4.2504 0.0000 0.0000
0.0000 4.2504 0.0000
0.0000 0.0000 10.8068
Sc Rh Ga Pr
1 4 3 2
Cartesian
2.1252 2.1252 5.4034
0.0000 2.1252 3.8423
0.0000 0.0000 0.0000
2.1252 0.0000 6.9645
2.1252 2.1252 0.0000
2.1252 0.0000 9.5029
0.0000 0.0000 5.4034
0.0000 2.1252 1.3039
0.0000 2.1252 8.3199
2.1252 0.0000 2.4869
```


(3)
DFT (GGA-PBE) results for an optimized crystal structure of Pr2GaSiRh6.

- Formation energy from raw total energies: -4.79 eV per formula unit
- VASP energy: -66.91 eV for the cell shown

The structure in POSCAR format:
```
Pr2GaSiRh6
1.0
6.4519 -0.0004 0.0052
-0.0005 6.4533 0.0052
3.2293 3.2301 4.5692
Rh Ga Pr Si
6 1 2 1
Cartesian
3.2276 3.2284 2.2298
1.6534 4.7994 0.0052
4.8819 4.8848 4.5713
6.4531 6.4546 2.3499
4.7988 4.7982 0.0084
8.0273 4.8837 4.5744
0.0000 0.0000 0.0000
3.2272 6.4551 2.2904
6.4535 3.2280 2.2892
3.2257 3.2265 0.0052
```


(4)
DFT (GGA-PBE) results for an optimized crystal structure of PrGa2SiRh2.

- Formation energy from raw total energies: -3.41 eV per formula unit
- VASP energy: -34.37 eV for the cell shown

The structure in POSCAR format:
```
PrGa2SiRh2
1.0
-0.3733 4.3340 1.1988
-4.4485 -0.5317 0.5370
0.8248 -1.4278 5.4187
Rh Si Ga Pr
2 1 2 1
Cartesian
-2.2243 -0.2658 0.2685
-0.1866 2.1670 0.5994
0.0000 0.0000 0.0000
-1.8022 0.8474 4.8672
-2.1948 1.5272 2.2873
0.4124 -0.7139 2.7093
```


(5)
DFT (GGA-PBE) results for an optimized crystal structure of Pr2GaSi3Rh4.

- Formation energy from raw total energies: -9.85 eV per formula unit
- VASP energy: -68.11 eV for the cell shown

The structure in POSCAR format:
```
Pr2GaSi3Rh4
1.0
-0.9862 4.0813 0.4406
0.0855 -0.4327 4.1988
9.6663 2.3311 0.0434
Si Rh Pr Ga
3 4 2 1
Cartesian
1.2607 0.0774 2.1049
4.8331 1.1655 0.0217
7.9553 4.0780 0.2583
0.0000 0.0000 0.0000
3.5951 0.6403 2.1153
5.6208 3.5151 0.2478
-0.4504 1.8243 2.3197
7.2685 1.5262 2.1318
1.9474 2.6292 0.2313
4.3828 2.9899 2.3414
```


(6)
DFT (GGA-PBE) results for an optimized crystal structure of Pr3GaSi2Rh9.

- Formation energy from raw total energies: -8.14 eV per formula unit
- VASP energy: -102.52 eV for the cell shown

The structure in POSCAR format:
```
Pr3GaSi2Rh9
1.0
-5.7698 2.3520 1.5483
1.1705 -1.9358 -6.0085
-2.4643 -7.2717 1.8627
Si Rh Pr Ga
2 9 3 1
Cartesian
-5.5242 -5.1791 0.5924
-1.5394 -1.6764 -3.1899
0.5853 -0.9679 -3.0043
-6.2442 -3.2813 1.5119
-3.6305 -2.4283 -3.3550
-2.8849 1.1760 0.7742
-5.6739 -4.2245 -1.4155
-2.2996 0.2081 -2.2301
-0.8194 -3.5742 -4.1094
-3.4331 -4.4272 0.7575
-1.3897 -2.6311 -1.1820
-2.7742 -5.3202 -2.2565
-4.2894 -1.5353 -0.3410
0.0000 0.0000 0.0000
-1.2322 -3.6358 0.9313
```


(7)
DFT (GGA-PBE) results for an optimized crystal structure of PrGa2SiRh.

- Formation energy from raw total energies: -3.49 eV per formula unit
- VASP energy: -27.10 eV for the cell shown

The structure in POSCAR format:
```
PrGa2SiRh
1.0
-0.3313 4.0028 -0.8992
-3.5671 0.1598 2.0256
4.6104 -0.8304 4.0247
Ga Rh Si Pr
2 1 1 1
Cartesian
0.2898 0.1362 0.4995
0.8509 2.4792 1.3030
-0.7066 0.5861 2.8695
-0.2185 2.8948 3.5469
2.3375 1.0988 4.0298
```


(8)
DFT (GGA-PBE) results for an optimized crystal structure of PrSmGaRh.

- Relative energy among the computed polymorphs: 0.1132 eV/atom
- ΔH_f (0 K): -0.540 eV/atom
- VASP energy: -22.04 eV for the cell shown

The structure in POSCAR format:
```
PrSmGaRh
1.0
5.1193 0.0000 0.0000
2.5596 4.4334 0.0000
2.5596 1.4778 4.1799
Pr Rh Sm Ga
1 1 1 1
Cartesian
2.5596 1.4778 1.0450
5.1193 2.9556 2.0899
7.6789 4.4334 3.1349
0.0000 0.0000 0.0000
```


What is the formula in the seventh record? PrGa2SiRh